Record 1
! Co3SiH GGA-PBEsol relaxed; values from VASP
&SYSTEM
  ibrav = 0, nat = 5, ntyp = 3
/
ATOMIC_SPECIES
H 1.01 H.upf
Co 58.93 Co.upf
Si 28.09 Si.upf
ATOMIC_POSITIONS crystal
H 0.0000 0.0000 0.0000
Co 0.0000 0.0000 0.5000
Co 0.0000 0.5000 0.0000
Co 0.5000 0.0000 0.0000
Si 0.5000 0.5000 0.5000
CELL_PARAMETERS angstrom
3.4839 0.0000 0.0000
0.0000 3.4839 0.0000
0.0000 0.0000 3.4839
! **Total DFT energy (no corrections)**: -6.82 eV/atom

---

Record 2
! LiFePO4 GGA-PBEsol relaxed; values from VASP
&SYSTEM
  ibrav = 0, nat = 56, ntyp = 4
/
ATOMIC_SPECIES
O 16.00 O.upf
Fe 55.84 Fe.upf
P 30.97 P.upf
Li 6.94 Li.upf
ATOMIC_POSITIONS crystal
O 0.5560 0.9716 0.0286
O 0.1301 0.4896 0.6224
O 0.5560 0.5284 0.5286
O 0.4440 0.0284 0.5286
O 0.9208 0.2732 0.4667
O 0.9872 0.9361 0.8704
O 0.6387 0.7487 0.8763
O 0.3613 0.2487 0.8763
O 0.4967 0.6861 0.1246
O 0.5033 0.3139 0.6246
O 0.6387 0.7513 0.3763
O 0.4967 0.8139 0.6246
O 0.9872 0.5639 0.3704
O 0.0562 0.7179 0.7768
O 0.4453 0.4697 0.2188
O 0.8699 0.5104 0.1224
O 0.1301 0.0104 0.1224
O 0.5033 0.1861 0.1246
O 0.9438 0.2821 0.2768
O 0.9438 0.2179 0.7768
O 0.0562 0.7821 0.2768
O 0.4453 0.0303 0.7188
O 0.9208 0.2268 0.9667
O 0.0792 0.7732 0.4667
O 0.3613 0.2513 0.3763
O 0.0128 0.4361 0.8704
O 0.0128 0.0639 0.3704
O 0.5547 0.9697 0.2188
O 0.8699 0.9896 0.6224
O 0.4440 0.4716 0.0286
O 0.0792 0.7268 0.9667
O 0.5547 0.5303 0.7188
Fe 0.5558 0.2825 0.2506
Fe 0.4442 0.7175 0.7506
Fe 0.0744 0.9669 0.4976
Fe 0.5558 0.2175 0.7506
Fe 0.9256 0.0331 0.9976
Fe 0.0744 0.5331 0.9976
Fe 0.4442 0.7825 0.2506
Fe 0.9256 0.4669 0.4976
P 0.5646 0.9651 0.6240
P 0.4354 0.0349 0.1240
P 0.5646 0.5349 0.1240
P 0.4354 0.4651 0.6240
P 0.9402 0.7829 0.8723
P 0.9402 0.7171 0.3723
P 0.0598 0.2171 0.3723
P 0.0598 0.2829 0.8723
Li 0.4424 0.7873 0.9990
Li 0.9391 0.9676 0.2462
Li 0.4424 0.7127 0.4990
Li 0.9391 0.5324 0.7462
Li 0.0609 0.4676 0.2462
Li 0.5576 0.2127 0.4990
Li 0.5576 0.2873 0.9990
Li 0.0609 0.0324 0.7462
CELL_PARAMETERS angstrom
5.0195 0.0000 0.0000
0.0000 10.0008 0.0000
0.0000 0.0000 13.4214
! **Formation energy from raw total energies**: -1.910 eV/atom
! **Distance to the lowest polymorph of the same formula**: 2 meV per atom

---

Record 3
! Cs2TlAsI6 GGA-PBEsol relaxed; values from VASP
&SYSTEM
  ibrav = 0, nat = 10, ntyp = 4
/
ATOMIC_SPECIES
Cs 132.91 Cs.upf
Tl 204.38 Tl.upf
I 126.90 I.upf
As 74.92 As.upf
ATOMIC_POSITIONS crystal
Cs 0.7500 0.7500 0.7500
Cs 0.2500 0.2500 0.2500
Tl 0.5000 0.5000 0.5000
I 0.2358 0.7642 0.7642
I 0.7642 0.7642 0.2358
I 0.2358 0.7642 0.2358
I 0.2358 0.2358 0.7642
I 0.7642 0.2358 0.2358
I 0.7642 0.2358 0.7642
As 0.0000 0.0000 0.0000
CELL_PARAMETERS angstrom
8.5092 0.0000 0.0000
4.2546 7.3691 0.0000
4.2546 2.4564 6.9477
! **Formation energy from raw total energies**: -0.820 eV/atom

---

Record 4
! SrBSeBr2 GGA-PBEsol relaxed; values from VASP
&SYSTEM
  ibrav = 0, nat = 5, ntyp = 4
/
ATOMIC_SPECIES
Br 79.90 Br.upf
Se 78.96 Se.upf
B 10.81 B.upf
Sr 87.62 Sr.upf
ATOMIC_POSITIONS crystal
Br 0.0000 0.5000 0.0000
Br 0.5000 0.0000 0.0000
Se 0.0000 0.0000 0.5000
B 0.5000 0.5000 0.5000
Sr 0.0000 0.0000 0.0000
CELL_PARAMETERS angstrom
-2.3452 -5.1306 -1.1207
0.1416 -1.2887 5.6034
-5.4228 2.3316 0.6733
! **Formation energy from raw total energies**: 0.414 eV/atom

---

Record 5
! GeAsC3 GGA-PBEsol relaxed; values from VASP
&SYSTEM
  ibrav = 0, nat = 5, ntyp = 3
/
ATOMIC_SPECIES
C 12.01 C.upf
Ge 72.64 Ge.upf
As 74.92 As.upf
ATOMIC_POSITIONS crystal
C 0.0000 0.0000 0.5000
C 0.5000 0.0000 0.0000
C 0.0000 0.5000 0.0000
Ge 0.5000 0.5000 0.5000
As 0.0000 0.0000 0.0000
CELL_PARAMETERS angstrom
-3.0635 2.4349 0.2376
-0.7284 -0.5444 -3.8135
-2.3355 -3.0240 0.8778
! **Energy of formation**: 2.54 eV/atom

---

Record 6
! KCu2 GGA-PBEsol relaxed; values from VASP
&SYSTEM
  ibrav = 0, nat = 3, ntyp = 2
/
ATOMIC_SPECIES
Cu 63.55 Cu.upf
K 39.10 K.upf
ATOMIC_POSITIONS crystal
Cu 0.3333 0.6667 0.0000
Cu 0.6667 0.3333 0.0000
K 0.0000 0.0000 0.5000
CELL_PARAMETERS angstrom
-1.0991 1.8211 3.4703
3.2799 -2.4088 -0.0842
2.7639 3.8025 -1.1200
! **Energy of formation**: 0.49 eV/atom

---

Record 7
! FeSn3Se GGA-PBEsol relaxed; values from VASP
&SYSTEM
  ibrav = 0, nat = 5, ntyp = 3
/
ATOMIC_SPECIES
Sn 118.71 Sn.upf
Fe 55.84 Fe.upf
Se 78.96 Se.upf
ATOMIC_POSITIONS crystal
Sn 0.0000 0.5000 0.0000
Sn 0.0000 0.0000 0.5000
Sn 0.5000 0.0000 0.0000
Fe 0.0000 0.0000 0.0000
Se 0.5000 0.5000 0.5000
CELL_PARAMETERS angstrom
4.8425 0.0000 0.0000
0.0000 4.8425 0.0000
0.0000 0.0000 4.8425
! **Formation energy from raw total energies**: -0.128 eV/atom

---

Record 8
! KSiAu2 GGA-PBEsol relaxed; values from VASP
&SYSTEM
  ibrav = 0, nat = 4, ntyp = 3
/
ATOMIC_SPECIES
K 39.10 K.upf
Si 28.09 Si.upf
Au 196.97 Au.upf
ATOMIC_POSITIONS crystal
K 0.0000 0.0000 0.5050
Si 0.5000 0.5000 0.8407
Au 0.0000 0.0000 0.9710
Au 0.5000 0.5000 0.1833
CELL_PARAMETERS angstrom
-2.9053 -0.8343 -1.6264
1.2094 -3.1674 -0.5355
-2.9628 -2.2185 6.4310
! **Formation energy from raw total energies**: 0.070 eV/atom

---

Record 9
! HfNb2BiTe GGA-PBEsol relaxed; values from VASP
&SYSTEM
  ibrav = 0, nat = 5, ntyp = 4
/
ATOMIC_SPECIES
Hf 178.49 Hf.upf
Bi 208.98 Bi.upf
Te 127.60 Te.upf
Nb 92.91 Nb.upf
ATOMIC_POSITIONS crystal
Hf 0.5000 0.5000 0.5000
Bi 0.0000 0.0000 0.0000
Te 0.0000 0.0000 0.5000
Nb 0.0000 0.5000 0.0000
Nb 0.5000 0.0000 0.0000
CELL_PARAMETERS angstrom
-3.5505 3.6934 -0.0799
-0.4633 -0.5552 -5.0726
-3.9942 -3.8228 0.7832
! **Formation energy from raw total energies**: 1.921 eV/atom

---

Record 10
! RhPb2Au GGA-PBEsol relaxed; values from VASP
&SYSTEM
  ibrav = 0, nat = 4, ntyp = 3
/
ATOMIC_SPECIES
Rh 102.91 Rh.upf
Au 196.97 Au.upf
Pb 207.20 Pb.upf
ATOMIC_POSITIONS crystal
Rh 0.8392 0.0000 0.6783
Au 0.6700 0.5000 0.3400
Pb 0.3939 0.5000 0.7877
Pb 0.0987 0.0000 0.1973
CELL_PARAMETERS angstrom
3.7049 0.0000 0.0000
0.0000 4.1463 0.0000
-1.8525 0.0000 5.4382
! **Energy of formation**: 0.00 eV/atom

---

Record 11
! LiZr GGA-PBEsol relaxed; values from VASP
&SYSTEM
  ibrav = 0, nat = 4, ntyp = 2
/
ATOMIC_SPECIES
Zr 91.22 Zr.upf
Li 6.94 Li.upf
ATOMIC_POSITIONS crystal
Zr 0.5000 0.5000 0.0000
Zr 0.7500 0.2500 0.5000
Li 0.0000 0.0000 0.0000
Li 0.2500 0.7500 0.5000
CELL_PARAMETERS angstrom
4.0808 0.0000 0.0000
0.0000 4.0808 0.0000
-2.0404 -2.0404 4.4729
! **Energy of formation**: 0.43 eV/atom
! **Distance to the lowest polymorph of the same formula**: 327 meV per atom

---

Record 12
! Ag2TeCl GGA-PBEsol relaxed; values from VASP
&SYSTEM
  ibrav = 0, nat = 4, ntyp = 3
/
ATOMIC_SPECIES
Te 127.60 Te.upf
Ag 107.87 Ag.upf
Cl 35.45 Cl.upf
ATOMIC_POSITIONS crystal
Te 0.5000 0.5000 0.8305
Ag 0.0000 0.0000 0.0129
Ag 0.5000 0.5000 0.2444
Cl 0.0000 0.0000 0.4121
CELL_PARAMETERS angstrom
3.3266 0.0000 0.0000
0.0000 3.9703 0.0000
0.0000 0.0000 6.7315
! **Formation energy from raw total energies**: -0.144 eV/atom
! **Distance to the lowest polymorph of the same formula**: 19 meV per atom

---

Record 13
! Li2AcIn GGA-PBEsol relaxed; values from VASP
&SYSTEM
  ibrav = 0, nat = 4, ntyp = 3
/
ATOMIC_SPECIES
Li 6.94 Li.upf
Ac 227.00 Ac.upf
In 114.82 In.upf
ATOMIC_POSITIONS crystal
Li 0.7500 0.7500 0.7500
Li 0.2500 0.2500 0.2500
Ac 0.5000 0.5000 0.5000
In 0.0000 0.0000 0.0000
CELL_PARAMETERS angstrom
-4.0435 1.7562 -2.6038
-0.1793 -0.4997 -5.0923
-3.2940 -3.2869 -2.1353
! **Energy of formation**: -0.27 eV/atom

---

Record 14
! ZnBr2 GGA-PBEsol relaxed; values from VASP
&SYSTEM
  ibrav = 0, nat = 3, ntyp = 2
/
ATOMIC_SPECIES
Br 79.90 Br.upf
Zn 65.41 Zn.upf
ATOMIC_POSITIONS crystal
Br 0.7432 0.7432 0.7704
Br 0.2568 0.2568 0.2296
Zn 0.0000 0.0000 0.0000
CELL_PARAMETERS angstrom
3.7083 0.0000 0.0000
1.8541 3.2114 0.0000
1.8541 1.0705 6.4242
! **Formation energy from raw total energies**: -0.798 eV/atom

---

Record 15
! ZrTc3W GGA-PBEsol relaxed; values from VASP
&SYSTEM
  ibrav = 0, nat = 5, ntyp = 3
/
ATOMIC_SPECIES
Tc 98.00 Tc.upf
Zr 91.22 Zr.upf
W 183.84 W.upf
ATOMIC_POSITIONS crystal
Tc 0.0000 0.5000 0.0000
Tc 0.0000 0.0000 0.5000
Tc 0.5000 0.0000 0.0000
Zr 0.0000 0.0000 0.0000
W 0.5000 0.5000 0.5000
CELL_PARAMETERS angstrom
4.5375 0.0000 0.0000
0.0000 4.5375 0.0000
0.0000 0.0000 4.5375
! **Energy of formation**: 2.27 eV/atom

---

Record 16
! MnV4O12 GGA-PBEsol relaxed; values from VASP
&SYSTEM
  ibrav = 0, nat = 17, ntyp = 3
/
ATOMIC_SPECIES
O 16.00 O.upf
V 50.94 V.upf
Mn 54.94 Mn.upf
ATOMIC_POSITIONS crystal
O 0.3008 0.6866 0.3680
O 0.9953 0.9743 0.5828
O 0.4562 0.7851 0.0278
O 0.0047 0.5828 0.9743
O 0.7990 0.6391 0.3722
O 0.4623 0.0978 0.3550
O 0.5377 0.3550 0.0978
O 0.6992 0.3680 0.6866
O 0.8265 0.9735 0.1645
O 0.5438 0.0278 0.7851
O 0.2010 0.3722 0.6391
O 0.1735 0.1645 0.9735
V 0.9880 0.8154 0.3626
V 0.0120 0.3626 0.8154
V 0.5170 0.6134 0.2141
V 0.4830 0.2141 0.6134
Mn 0.5000 0.0714 0.0714
CELL_PARAMETERS angstrom
-3.9261 3.9138 1.9987
-3.6922 -3.3537 4.0955
5.2053 0.8847 3.7114
! **Formation energy from raw total energies**: -2.104 eV/atom
! **Distance to the lowest polymorph of the same formula**: 3 meV per atom

---

Record 17
! Sr2CoRu2 GGA-PBEsol relaxed; values from VASP
&SYSTEM
  ibrav = 0, nat = 5, ntyp = 3
/
ATOMIC_SPECIES
Ru 101.07 Ru.upf
Sr 87.62 Sr.upf
Co 58.93 Co.upf
ATOMIC_POSITIONS crystal
Ru 0.2500 0.7500 0.5000
Ru 0.7500 0.2500 0.5000
Sr 0.3981 0.3981 0.7962
Sr 0.6019 0.6019 0.2038
Co 0.0000 0.0000 0.0000
CELL_PARAMETERS angstrom
3.4541 0.0000 0.0000
0.0000 3.4541 0.0000
-1.7270 -1.7270 9.2200
! **Energy of formation**: 0.73 eV/atom

---

Record 18
! CuNi2HBr GGA-PBEsol relaxed; values from VASP
&SYSTEM
  ibrav = 0, nat = 5, ntyp = 4
/
ATOMIC_SPECIES
H 1.01 H.upf
Ni 58.69 Ni.upf
Br 79.90 Br.upf
Cu 63.55 Cu.upf
ATOMIC_POSITIONS crystal
H 0.0000 0.0000 0.0000
Ni 0.0000 0.5000 0.0000
Ni 0.5000 0.0000 0.0000
Br 0.0000 0.0000 0.5000
Cu 0.5000 0.5000 0.5000
CELL_PARAMETERS angstrom
-1.5949 2.2124 -2.2316
-1.5266 -2.7329 -1.6184
-3.5419 0.3021 2.8309
! **Total DFT energy (no corrections)**: -3.85 eV/atom

---

Record 19
! Be3WBr GGA-PBEsol relaxed; values from VASP
&SYSTEM
  ibrav = 0, nat = 5, ntyp = 3
/
ATOMIC_SPECIES
Br 79.90 Br.upf
W 183.84 W.upf
Be 9.01 Be.upf
ATOMIC_POSITIONS crystal
Br 0.5000 0.5000 0.5000
W 0.0000 0.0000 0.0000
Be 0.0000 0.0000 0.5000
Be 0.0000 0.5000 0.0000
Be 0.5000 0.0000 0.0000
CELL_PARAMETERS angstrom
4.4948 0.0000 0.0000
0.0000 4.4948 0.0000
0.0000 0.0000 4.4948
! **Formation energy from raw total energies**: 1.766 eV/atom

---

Record 20
! Mn2AlCr GGA-PBEsol relaxed; values from VASP
&SYSTEM
  ibrav = 0, nat = 4, ntyp = 3
/
ATOMIC_SPECIES
Mn 54.94 Mn.upf
Al 26.98 Al.upf
Cr 52.00 Cr.upf
ATOMIC_POSITIONS crystal
Mn 0.0000 0.0000 0.7316
Mn 0.0000 0.0000 0.2684
Al 0.5000 0.5000 0.0000
Cr 0.5000 0.5000 0.5000
CELL_PARAMETERS angstrom
2.8097 0.0000 0.0000
0.0000 2.8097 0.0000
0.0000 0.0000 5.7319
! **Energy of formation**: -0.14 eV/atom

---

Record 21
! Zr2CuPt GGA-PBEsol relaxed; values from VASP
&SYSTEM
  ibrav = 0, nat = 4, ntyp = 3
/
ATOMIC_SPECIES
Zr 91.22 Zr.upf
Cu 63.55 Cu.upf
Pt 195.08 Pt.upf
ATOMIC_POSITIONS crystal
Zr 0.0000 0.0001 0.2550
Zr 0.0000 0.9999 0.7450
Cu 0.5000 0.5000 0.5000
Pt 0.5000 0.5000 0.0000
CELL_PARAMETERS angstrom
-2.1683 1.7567 -1.7913
-1.7933 0.5718 2.7315
3.3648 5.2810 1.1060
! **Energy of formation**: -0.54 eV/atom

---

Record 22
! YZnPt2 GGA-PBEsol relaxed; values from VASP
&SYSTEM
  ibrav = 0, nat = 4, ntyp = 3
/
ATOMIC_SPECIES
Pt 195.08 Pt.upf
Y 88.91 Y.upf
Zn 65.41 Zn.upf
ATOMIC_POSITIONS crystal
Pt 0.0000 0.0000 0.7264
Pt 0.0000 0.0000 0.2736
Y 0.5000 0.5000 0.0000
Zn 0.5000 0.5000 0.5000
CELL_PARAMETERS angstrom
-3.3314 -0.0356 0.7864
0.2028 -3.3430 0.7078
1.3082 1.2647 5.5988
! **Energy of formation**: -0.85 eV/atom

---

Record 23
! ZnSbW2 GGA-PBEsol relaxed; values from VASP
&SYSTEM
  ibrav = 0, nat = 4, ntyp = 3
/
ATOMIC_SPECIES
W 183.84 W.upf
Sb 121.76 Sb.upf
Zn 65.41 Zn.upf
ATOMIC_POSITIONS crystal
W 0.0097 0.0097 0.0194
W 0.7436 0.2436 0.4872
Sb 0.2521 0.7521 0.5043
Zn 0.4946 0.4946 0.9891
CELL_PARAMETERS angstrom
3.5347 0.0000 0.0000
0.0000 4.3909 0.0000
-1.7673 -2.1954 4.2419
! **Formation energy from raw total energies**: 0.523 eV/atom

---

Record 24
! AlHgSb2C GGA-PBEsol relaxed; values from VASP
&SYSTEM
  ibrav = 0, nat = 5, ntyp = 4
/
ATOMIC_SPECIES
Al 26.98 Al.upf
Sb 121.76 Sb.upf
Hg 200.59 Hg.upf
C 12.01 C.upf
ATOMIC_POSITIONS crystal
Al 0.0000 0.0000 0.0000
Sb 0.0000 0.0000 0.5000
Sb 0.0000 0.5000 0.0000
Hg 0.5000 0.0000 0.0000
C 0.5000 0.5000 0.5000
CELL_PARAMETERS angstrom
-1.4808 -3.3622 -3.3979
4.9084 -0.5491 -1.5958
0.6994 -3.8050 3.4603
! **Formation energy from raw total energies**: 1.767 eV/atom

---

Record 25
! AlCo2 GGA-PBEsol relaxed; values from VASP
&SYSTEM
  ibrav = 0, nat = 3, ntyp = 2
/
ATOMIC_SPECIES
Co 58.93 Co.upf
Al 26.98 Al.upf
ATOMIC_POSITIONS crystal
Co 0.4462 0.4462 0.6616
Co 0.2204 0.2204 0.3388
Al 0.0001 0.0001 0.9996
CELL_PARAMETERS angstrom
-0.5188 1.5170 -2.0527
-1.5802 -0.8559 -1.8853
-5.2503 2.4537 1.4896
! **Energy of formation**: -0.11 eV/atom

---

Record 26
! Mg2RhBr GGA-PBEsol relaxed; values from VASP
&SYSTEM
  ibrav = 0, nat = 4, ntyp = 3
/
ATOMIC_SPECIES
Mg 24.30 Mg.upf
Rh 102.91 Rh.upf
Br 79.90 Br.upf
ATOMIC_POSITIONS crystal
Mg 0.2832 0.0000 0.5663
Mg 0.9734 0.5000 0.9467
Rh 0.5411 0.0000 0.0822
Br 0.7024 0.5000 0.4048
CELL_PARAMETERS angstrom
-2.3817 1.9700 -1.2416
-2.8254 -1.7271 2.6797
2.3082 2.5403 4.0709
! **Formation energy from raw total energies**: -0.358 eV/atom
! **Distance to the lowest polymorph of the same formula**: 55 meV per atom